No. 1
A plane-wave DFT calculation with PBE was carried out for TbPuSe after structural relaxation.

The space group is I4mm (No. 107) and the conventional cell measures 3.544, 3.544 and 12.740 Å, with angles of 90.00, 90.00 and 90.00 degrees. The asymmetric unit holds Tb at (0.000, 0.000, 0.000), Pu at (0.000, 0.000, 0.281) and Se at (0.000, 0.000, 0.637).

For the energy relative to the lowest polymorph listed for this composition, the calculation gives 16 meV/atom. Its formation energy from raw total energies is -0.755 eV per atom.

No. 2
A plane-wave DFT calculation with PBE was carried out for Ca2Zn3Ga4Ni after structural relaxation.

The space group is P-4m2 (No. 115) and the conventional cell measures 4.200, 4.200 and 10.724 Å, with angles of 90.00, 90.00 and 90.00 degrees. The asymmetric unit holds Ca at (0.000, 0.500, 0.239), Zn at (0.000, 0.000, 0.000), Zn at (0.000, 0.500, 0.644), Ga at (0.000, 0.000, 0.500), Ga at (0.000, 0.500, 0.877), Ga at (0.500, 0.500, 0.500) and Ni at (0.500, 0.500, 0.000).

The formation energy comes out at -0.342 eV/atom.

No. 3
A plane-wave DFT calculation with PBE was carried out for BeCo2Os after structural relaxation.

The space group is Pmmm (No. 47) and the conventional cell measures 2.573, 3.543 and 4.821 Å, with angles of 90.00, 90.00 and 90.00 degrees. The asymmetric unit holds Be at (0.000, 0.000, 0.000), Co at (0.500, 0.500, 0.237) and Os at (0.000, 0.000, 0.500).

The formation energy comes out at 0.007 eV/atom.

No. 4
A plane-wave DFT calculation with PBE was carried out for CePrIrAu after structural relaxation.

The space group is F-43m (No. 216) and the conventional cell measures 7.248, 7.248 and 7.248 Å, with angles of 90.00, 90.00 and 90.00 degrees. The asymmetric unit holds Ce at (0.000, 0.000, 0.000), Pr at (0.000, 0.000, 0.500), Ir at (0.250, 0.250, 0.250) and Au at (0.250, 0.250, 0.750).

The formation energy comes out at -0.606 eV/atom. For the energy relative to the lowest polymorph listed for this composition, the calculation gives 131 meV/atom.

No. 5
A plane-wave DFT calculation with PBE was carried out for Ca2CuNiH6 after structural relaxation.

The space group is P-3m1 (No. 164) and the conventional cell measures 4.9655, 4.9655 and 4.6309 Å, with angles of 90.00, 90.00 and 120.00 degrees. The asymmetric unit holds Ca at (0.3333, 0.6667, 0.2632), Cu at (0.0000, 0.0000, 0.0000), Ni at (0.0000, 0.0000, 0.5000) and H at (0.1592, 0.3184, 0.7298).

No. 6
A plane-wave DFT calculation with PBE was carried out for Mg2ReP2 after structural relaxation.

The space group is P4/mbm (No. 127) and the conventional cell measures 6.118, 6.118 and 4.218 Å, with angles of 90.00, 90.00 and 90.00 degrees. The asymmetric unit holds Mg at (0.187, 0.313, 0.000), Re at (0.000, 0.000, 0.500) and P at (0.131, 0.631, 0.500).

The formation energy comes out at -0.359 eV/atom. For the energy relative to the lowest polymorph listed for this composition, the calculation gives 0 meV/atom.

No. 7
A plane-wave DFT calculation with PBE was carried out for YZrW2 after structural relaxation.

The space group is Pmmm (No. 47) and the conventional cell measures 3.358, 4.773 and 4.894 Å, with angles of 90.00, 90.00 and 90.00 degrees. The asymmetric unit holds Y at (0.000, 0.000, 0.000), Zr at (0.500, 0.500, 0.000), W at (0.000, 0.500, 0.500) and W at (0.500, 0.000, 0.500).

The formation energy comes out at 0.528 eV/atom. For the energy relative to the lowest polymorph listed for this composition, the calculation gives 321 meV/atom.

No. 8
A plane-wave DFT calculation with PBE was carried out for ScIn2Si2 after structural relaxation.

The space group is P4/mbm (No. 127) and the conventional cell measures 7.122, 7.122 and 4.092 Å, with angles of 90.00, 90.00 and 90.00 degrees. The asymmetric unit holds Sc at (0.000, 0.000, 0.000), In at (0.181, 0.319, 0.500) and Si at (0.121, 0.621, 0.000).

Its formation energy from raw total energies is -0.037 eV per atom.

| no. | DFT total energy (eV/atom) | V (Å³/cell) | magnetic moment (μB/cell) |
| --- | --- | --- | --- |
| 1 | -8.24 | 160 | 12.43 |
| 2 | -2.91 | 189 | 0.00 |
| 3 | -7.29 | 44 | 0.00 |
| 4 | -6.32 | 381 | 3.36 |
| 5 | -3.72 | 99 | 0.00 |
| 6 | -5.65 | 158 | 0.00 |
| 7 | -9.70 | 78 | 0.00 |
| 8 | -4.57 | 208 | 0.00 |